Record 1
# TmZr2Co, relaxed, DFT PBE-GGA
data_TmZr2Co
_chemical_formula_sum 'Tm3 Zr6 Co3'
_cell_length_a 4.0581
_cell_length_b 4.0581
_cell_length_c 19.2885
_cell_angle_alpha 90.00
_cell_angle_beta 90.00
_cell_angle_gamma 120.00
_symmetry_space_group_name_H-M 'R 3 m'
_symmetry_Int_Tables_number 160
_symmetry_space_group_name_Hall 'R 3 -2"'
loop_
_atom_site_label
_atom_site_type_symbol
_atom_site_fract_x
_atom_site_fract_y
_atom_site_fract_z
Tm1 Tm 0.0000 0.0000 0.0000
Zr1 Zr 0.0000 0.0000 0.5556
Zr2 Zr 0.0000 0.0000 0.7822
Co1 Co 0.0000 0.0000 0.1731
# - Energy relative to the lowest polymorph listed for this composition: 0.2277 eV/atom
# - Energy of formation: 0.05 eV/atom
# - Uncorrected energy: -85.4 eV per cell
# - D(E_F): 1.020 states/eV/atom



Record 2
# AlCo3N, relaxed, DFT PBE-GGA
data_AlCo3N
_chemical_formula_sum 'Al1 Co3 N1'
_cell_length_a 4.2570
_cell_length_b 4.2570
_cell_length_c 4.2570
_cell_angle_alpha 90.00
_cell_angle_beta 90.00
_cell_angle_gamma 90.00
_symmetry_space_group_name_H-M 'P m -3 m'
_symmetry_Int_Tables_number 221
_symmetry_space_group_name_Hall '-P 4 2 3'
loop_
_atom_site_label
_atom_site_type_symbol
_atom_site_fract_x
_atom_site_fract_y
_atom_site_fract_z
Al1 Al 0.0000 0.0000 0.0000
Co1 Co 0.0000 0.0000 0.5000
N1 N 0.5000 0.5000 0.5000
# - Energy relative to the lowest polymorph listed for this composition: 2.3247 eV/atom
# - Formation energy (no corrections): 2073 meV per atom
# - Uncorrected energy: -23.0 eV per cell
# - D(E_F): 0.854 states/eV/atom



Record 3
# Li5ZnPb4, relaxed, DFT PBE-GGA
data_Li5ZnPb4
_chemical_formula_sum 'Li5 Zn1 Pb4'
_cell_length_a 3.5547
_cell_length_b 3.5547
_cell_length_c 16.7752
_cell_angle_alpha 90.00
_cell_angle_beta 90.00
_cell_angle_gamma 90.00
_symmetry_space_group_name_H-M 'P 4/m m m'
_symmetry_Int_Tables_number 123
_symmetry_space_group_name_Hall '-P 4 2'
loop_
_atom_site_label
_atom_site_type_symbol
_atom_site_fract_x
_atom_site_fract_y
_atom_site_fract_z
Li1 Li 0.0000 0.0000 0.0000
Li2 Li 0.0000 0.0000 0.2104
Li3 Li 0.0000 0.0000 0.4159
Zn1 Zn 0.5000 0.5000 0.5000
Pb1 Pb 0.5000 0.5000 0.1042
Pb2 Pb 0.5000 0.5000 0.3180
# - Energy of formation: -0.22 eV/atom
# - Uncorrected energy: -27.9 eV per cell
# - D(E_F): 0.467 states/eV/atom



Record 4
# HoTmSi2Pt5, relaxed, DFT PBE-GGA
data_HoTmSi2Pt5
_chemical_formula_sum 'Ho1 Tm1 Si2 Pt5'
_cell_length_a 4.1668
_cell_length_b 4.1668
_cell_length_c 8.9352
_cell_angle_alpha 90.00
_cell_angle_beta 90.00
_cell_angle_gamma 90.00
_symmetry_space_group_name_H-M 'P 4/m m m'
_symmetry_Int_Tables_number 123
_symmetry_space_group_name_Hall '-P 4 2'
loop_
_atom_site_label
_atom_site_type_symbol
_atom_site_fract_x
_atom_site_fract_y
_atom_site_fract_z
Ho1 Ho 0.0000 0.0000 0.0000
Tm1 Tm 0.0000 0.0000 0.5000
Si1 Si 0.5000 0.5000 0.3700
Pt1 Pt 0.0000 0.5000 0.2355
Pt2 Pt 0.5000 0.5000 0.0000
# - Formation energy (no corrections): -1114 meV per atom
# - Uncorrected energy: -60.1 eV per cell
# - D(E_F): 0.379 states/eV/atom



Record 5
# Tl2HgOs, relaxed, DFT PBE-GGA
data_Tl2HgOs
_chemical_formula_sum 'Tl4 Hg2 Os2'
_cell_length_a 6.0494
_cell_length_b 8.8257
_cell_length_c 3.4759
_cell_angle_alpha 90.00
_cell_angle_beta 107.98
_cell_angle_gamma 90.00
_symmetry_space_group_name_H-M 'C 1 2/m 1'
_symmetry_Int_Tables_number 12
_symmetry_space_group_name_Hall '-C 2y'
loop_
_atom_site_label
_atom_site_type_symbol
_atom_site_fract_x
_atom_site_fract_y
_atom_site_fract_z
Tl1 Tl 0.2500 0.2500 0.0000
Hg1 Hg 0.0000 0.0000 0.5000
Os1 Os 0.0000 0.5000 0.5000
# - Energy relative to the lowest polymorph listed for this composition: 0.3179 eV/atom
# - Energy of formation: 0.92 eV/atom
# - Uncorrected energy: -25.2 eV per cell
# - D(E_F): 0.608 states/eV/atom



Record 6
# HoNiRhPb, relaxed, DFT PBE-GGA
data_HoNiRhPb
_chemical_formula_sum 'Ho4 Ni4 Rh4 Pb4'
_cell_length_a 6.6669
_cell_length_b 6.6669
_cell_length_c 6.6669
_cell_angle_alpha 90.00
_cell_angle_beta 90.00
_cell_angle_gamma 90.00
_symmetry_space_group_name_H-M 'F -4 3 m'
_symmetry_Int_Tables_number 216
_symmetry_space_group_name_Hall 'F -4 2 3'
loop_
_atom_site_label
_atom_site_type_symbol
_atom_site_fract_x
_atom_site_fract_y
_atom_site_fract_z
Ho1 Ho 0.0000 0.0000 0.0000
Ni1 Ni 0.2500 0.2500 0.7500
Rh1 Rh 0.2500 0.2500 0.2500
Pb1 Pb 0.0000 0.0000 0.5000
# - Energy of formation: -0.39 eV/atom
# - Uncorrected energy: -91.9 eV per cell
# - D(E_F): 0.956 states/eV/atom



Record 7
# Cd2CuRe, relaxed, DFT PBE-GGA
data_Cd2CuRe
_chemical_formula_sum 'Cd4 Cu2 Re2'
_cell_length_a 3.2160
_cell_length_b 4.5036
_cell_length_c 9.2573
_cell_angle_alpha 90.00
_cell_angle_beta 90.00
_cell_angle_gamma 90.00
_symmetry_space_group_name_H-M 'C m m m'
_symmetry_Int_Tables_number 65
_symmetry_space_group_name_Hall '-C 2 2'
loop_
_atom_site_label
_atom_site_type_symbol
_atom_site_fract_x
_atom_site_fract_y
_atom_site_fract_z
Cd1 Cd 0.0000 0.0000 0.2380
Cu1 Cu 0.0000 0.5000 0.0000
Re1 Re 0.0000 0.5000 0.5000
# - Energy relative to the lowest polymorph listed for this composition: 0.0262 eV/atom
# - Energy of formation: 0.42 eV/atom
# - Uncorrected energy: -33.4 eV per cell
# - D(E_F): 0.222 states/eV/atom



Record 8
# NaMg4Hg, relaxed, DFT PBE-GGA
data_NaMg4Hg
_chemical_formula_sum 'Na4 Mg16 Hg4'
_cell_length_a 8.4362
_cell_length_b 8.4362
_cell_length_c 8.4362
_cell_angle_alpha 90.00
_cell_angle_beta 90.00
_cell_angle_gamma 90.00
_symmetry_space_group_name_H-M 'F -4 3 m'
_symmetry_Int_Tables_number 216
_symmetry_space_group_name_Hall 'F -4 2 3'
loop_
_atom_site_label
_atom_site_type_symbol
_atom_site_fract_x
_atom_site_fract_y
_atom_site_fract_z
Na1 Na 0.0000 0.0000 0.0000
Mg1 Mg 0.1247 0.1247 0.3753
Hg1 Hg 0.2500 0.2500 0.7500
# - Energy of formation: 0.07 eV/atom
# - Uncorrected energy: -30.3 eV per cell
# - D(E_F): 0.785 states/eV/atom